Material: KInW2
Method: DFT, GGA-PBE
State: relaxed

Output
Electronic total energy, eV/cell: -24.91
Calculated formation energy, kJ/mol of atoms: 116.6

abc: 6.1579 6.1579 5.2932
angles: 71.46 71.46 26.12
Closest atoms and distances in Å follow each position.
Fractional coordinates of all 4 atoms:
W 0.4747 0.4747 0.5243  6 W 2.78-3.10, 2 In 2.92
W 0.0253 0.0253 0.9757  6 W 2.78-3.10, 2 In 2.92
K 0.2500 0.2500 0.2500  2 K 2.78, 4 In 2.99
In 0.7500 0.7500 0.7500  2 In 2.78, 4 W 2.92, 4 K 2.99